## BaZrNi (GGA-PBEsol)

Data for a relaxed structure of BaZrNi.

Summary:
magnetic moment	0.00	μB/cell
total DFT energy (no corrections)	-16.48	eV/cell
E above lowest polymorph	0.0	kJ/mol of atoms
crystal system	trigonal
DOS(E_F)	1.114	states/eV/atom
DFT formation energy	0.305	eV per atom

Cell and atoms, written as CIF:
```
data_BaZrNi
_chemical_formula_sum 'Ba1 Zr1 Ni1'
_symmetry_space_group_name_H-M 'P 3 m 1'
_symmetry_Int_Tables_number 156
_cell_length_a 4.1982
_cell_length_b 4.1982
_cell_length_c 5.3728
_cell_angle_alpha 90.00
_cell_angle_beta 90.00
_cell_angle_gamma 120.00
loop_
_symmetry_equiv_pos_as_xyz
'x,y,z'
'-y,x-y,z'
'-x+y,-x,z'
'-y,-x,z'
'-x+y,y,z'
'x,x-y,z'
loop_
_atom_site_label
_atom_site_type_symbol
_atom_site_fract_x
_atom_site_fract_y
_atom_site_fract_z
Ba1 Ba 0.0000 0.0000 0.0000
Zr1 Zr 0.6667 0.3333 0.4914
Ni1 Ni 0.3333 0.6667 0.5567
```



## TlIr2Cl (GGA-PBEsol)

Data for a relaxed structure of TlIr2Cl.

Summary:
magnetic moment	0.00	μB/cell
total DFT energy (no corrections)	-43.00	eV/cell
E above lowest polymorph	29.2	kJ/mol of atoms
crystal system	orthorhombic
DOS(E_F)	1.173	states/eV/atom
formation energy without anion corrections	0.696	eV/atom

Cell and atoms, written as CIF:
```
data_TlIr2Cl
_chemical_formula_sum 'Tl2 Ir4 Cl2'
_symmetry_space_group_name_H-M 'I m m 2'
_symmetry_Int_Tables_number 44
_cell_length_a 2.8387
_cell_length_b 4.2285
_cell_length_c 12.0816
_cell_angle_alpha 90.00
_cell_angle_beta 90.00
_cell_angle_gamma 90.00
loop_
_symmetry_equiv_pos_as_xyz
'x,y,z'
'-x,-y,z'
'-x,y,z'
'x,-y,z'
'x+1/2,y+1/2,z+1/2'
'-x+1/2,-y+1/2,z+1/2'
'-x+1/2,y+1/2,z+1/2'
'x+1/2,-y+1/2,z+1/2'
loop_
_atom_site_label
_atom_site_type_symbol
_atom_site_fract_x
_atom_site_fract_y
_atom_site_fract_z
Tl1 Tl 0.0000 0.0000 0.0000
Ir1 Ir 0.0000 0.0000 0.4005
Ir2 Ir 0.0000 0.5000 0.7184
Cl1 Cl 0.0000 0.5000 0.2118
```